[1]
CsHf2MgBe: relaxed, GGA-PBE.

formation enthalpy at 0 K = 1.168 eV/atom
V = 144.9 Å³/cell
space group = P4/mmm (123)
density of states at the Fermi level = 6.63 states/eV per cell

Cell: 4.904 6.023 4.904 Å, 90.00 90.00 90.00°
Atoms (fractional coordinates):
Mg (0.500, 0.500, 0.500)
Hf (0.500, 0.000, 0.000)
Hf (0.000, 0.000, 0.500)
Cs (0.000, 0.500, 0.000)
Be (0.000, 0.000, 0.000)

[2]
Os2Ru: relaxed, GGA-PBE.

formation enthalpy at 0 K = 0.119 eV/atom
V = 42.6 Å³/cell
excess energy over the best structure of this formula in the dataset = 0.412 eV per formula unit
space group = Immm (71)
density of states at the Fermi level = 2.56 states/eV per cell

Cell: 4.705 4.705 4.705 Å, 146.41 131.74 60.08°
Atoms (fractional coordinates):
Os (0.332, 0.332, 0.000)
Os (0.668, 0.668, 0.000)
Ru (0.000, 0.000, 0.000)

[3]
NbTeHPd: relaxed, GGA-PBE.

V = 66.5 Å³/cell
excess energy over the best structure of this formula in the dataset = 0.497 eV per formula unit
space group = Pmm2 (25)
density of states at the Fermi level = 1.22 states/eV per cell

Cell: 3.375 3.320 5.937 Å, 90.00 90.00 90.00°
Atoms (fractional coordinates):
Nb (0.000, 0.000, 0.183)
Pd (0.500, 0.500, 0.922)
Te (0.000, 0.500, 0.559)
H (0.500, 0.000, 0.319)

[4]
La2HgPd5: relaxed, GGA-PBE.

formation enthalpy at 0 K = -0.650 eV/atom
V = 163.2 Å³/cell
space group = I4mm (107)
density of states at the Fermi level = 3.79 states/eV per cell

Cell: 6.017 6.017 6.017 Å, 98.40 115.28 115.28°
Atoms (fractional coordinates):
Pd (0.000, 0.247, 0.247)
Pd (0.000, 0.739, 0.303)
Pd (0.436, 0.739, 0.739)
Pd (0.000, 0.303, 0.739)
Pd (0.564, 0.303, 0.303)
Hg (0.000, 0.867, 0.867)
La (0.500, 0.762, 0.262)
La (0.500, 0.262, 0.762)

[5]
CsCoIrS3: relaxed, GGA-PBE.

V = 257.8 Å³/cell
formation energy from raw total energies = -0.33 eV/atom
space group = C2/m (12)
density of states at the Fermi level = 2.67 states/eV per cell

Cell: 4.063 7.415 8.963 Å, 96.61 90.00 105.90°
Atoms (fractional coordinates):
S (0.481, 0.963, 0.339)
S (0.850, 0.699, 0.233)
S (0.150, 0.301, 0.767)
S (0.519, 0.037, 0.661)
S (0.836, 0.672, 0.547)
S (0.164, 0.328, 0.453)
Ir (0.325, 0.649, 0.376)
Ir (0.675, 0.351, 0.624)
Cs (0.634, 0.268, 0.082)
Cs (0.366, 0.732, 0.918)
Co (0.010, 0.020, 0.353)
Co (0.990, 0.980, 0.647)

[6]
ZrTiHg2Os: relaxed, GGA-PBE.

formation enthalpy at 0 K = 0.922 eV/atom
V = 132.8 Å³/cell
space group = P4/mmm (123)
density of states at the Fermi level = 6.74 states/eV per cell

Cell: 5.227 4.862 5.227 Å, 90.00 90.00 90.00°
Atoms (fractional coordinates):
Hg (0.500, 0.000, 0.000)
Hg (0.000, 0.000, 0.500)
Ti (0.500, 0.500, 0.500)
Zr (0.000, 0.500, 0.000)
Os (0.000, 0.000, 0.000)